Compound: KReTc2
Source: Alexandria
Functional: GGA-PBE
Structure: relaxed

Cell and atoms, written as extended XYZ:
```
8
Lattice="-5.8593 -3.3617 -3.0826 4.5567 -4.0950 -4.1955 -0.5699 -5.8518 -1.4781" Properties=species:S:1:pos:R:3 pbc="T T T"
Re 0.0000 0.0000 0.0000
Re -3.5403 -6.4709 -4.0998
K -0.6513 -3.7284 -3.6390
K 1.6677 -6.8376 -4.6563
Tc -3.6220 -4.2979 -3.0242
Tc 2.3600 -4.2205 -3.1734
Tc -1.2169 -6.9146 -3.5607
Tc -1.2663 -11.1839 -7.7540
```

Properties
- polymorph energy (0 for the lowest one) (meV per atom) = 787
- crystal system = tetragonal



Compound: TbZnHg2
Source: Alexandria
Functional: GGA-PBE
Structure: relaxed

Cell and atoms, written as extended XYZ:
```
8
Lattice="4.8556 0.0000 0.0000 0.0000 3.5679 0.0000 0.0000 -1.7840 10.4402" Properties=species:S:1:pos:R:3 pbc="T T T"
Tb 1.2139 1.7840 8.3897
Tb 3.6417 0.0000 2.0505
Zn 3.6417 0.0000 7.0183
Zn 1.2139 1.7840 3.4219
Hg 1.2139 0.0000 5.7383
Hg 3.6417 1.7840 4.7019
Hg 3.6417 0.0000 9.6705
Hg 1.2139 1.7840 0.7697
```

Properties
- crystal system = orthorhombic



Compound: LiY2Tm
Source: Alexandria
Functional: GGA-PBE
Structure: relaxed

Cell and atoms, written as extended XYZ:
```
4
Lattice="3.5143 -0.0003 -0.0005 1.7569 3.0436 -0.0005 1.7554 1.0135 11.1111" Properties=species:S:1:pos:R:3 pbc="T T T"
Li 3.5146 2.0291 0.0018
Y 1.7553 1.0134 8.3657
Y 1.7565 1.0141 2.7448
Tm 3.5135 2.0285 5.5527
```

Properties
- polymorph energy (0 for the lowest one) (meV per atom) = 27
- crystal system = trigonal



Compound: Mg2ScMn
Source: Alexandria
Functional: GGA-PBE
Structure: relaxed

Cell and atoms, written as extended XYZ:
```
4
Lattice="5.8286 -0.0035 0.0033 2.9030 5.0542 -0.0033 -3.8602 -3.3994 2.7414" Properties=species:S:1:pos:R:3 pbc="T T T"
Mg 0.2019 0.1168 0.0000
Mg 4.1640 2.4086 0.0000
Mn 1.7043 2.0901 1.3691
Sc 3.1671 -0.4388 1.3724
```

Properties
- polymorph energy (0 for the lowest one) (meV per atom) = 106
- crystal system = orthorhombic



no.,ΔE_f (kJ per mole of atoms),total magnetization (μB per atom)
1,145,0.000
2,-28,0.000
3,9,0.000
4,14,0.693